## P
# Na2TlSe2 (PBE, relaxed)
# volume = 151 Å³/f.u.
# SG = Ibam (72)
data_Na2TlSe2
_chemical_formula_sum 'Na4 Tl2 Se4'
_space_group_name_H-M_alt 'P 1'
_space_group_IT_number 1
_space_group_name_Hall 'P 1'
_cell_length_a 7.617
_cell_length_b 7.617
_cell_length_c 7.617
_cell_angle_alpha 119.07
_cell_angle_beta 86.65
_cell_angle_gamma 124.93
loop_
_atom_site_label
_atom_site_type_symbol
_atom_site_fract_x
_atom_site_fract_y
_atom_site_fract_z
_atom_site_occupancy
Na1 Na 0.135 0.131 0.267 1
Na2 Na 0.365 0.631 0.996 1
Na3 Na 0.635 0.369 0.004 1
Na4 Na 0.865 0.869 0.733 1
Tl1 Tl 0.250 0.750 0.500 1
Tl2 Tl 0.750 0.250 0.500 1
Se1 Se 0.120 0.751 0.871 1
Se2 Se 0.380 0.251 0.631 1
Se3 Se 0.620 0.749 0.369 1
Se4 Se 0.880 0.249 0.129 1


## Q
# Na2TlSe2 (PBE, relaxed)
# volume = 124 Å³/f.u.
# SG = P4/mbm (127)
data_Na2TlSe2
_chemical_formula_sum 'Na4 Tl2 Se4'
_space_group_name_H-M_alt 'P 1'
_space_group_IT_number 1
_space_group_name_Hall 'P 1'
_cell_length_a 8.663
_cell_length_b 8.663
_cell_length_c 3.301
_cell_angle_alpha 90.00
_cell_angle_beta 90.00
_cell_angle_gamma 90.00
loop_
_atom_site_label
_atom_site_type_symbol
_atom_site_fract_x
_atom_site_fract_y
_atom_site_fract_z
_atom_site_occupancy
Na1 Na 0.126 0.374 0.000 1
Na2 Na 0.374 0.874 0.000 1
Na3 Na 0.626 0.126 0.000 1
Na4 Na 0.874 0.626 0.000 1
Tl1 Tl 0.000 0.000 0.000 1
Tl2 Tl 0.500 0.500 0.000 1
Se1 Se 0.172 0.672 0.500 1
Se2 Se 0.328 0.172 0.500 1
Se3 Se 0.672 0.828 0.500 1
Se4 Se 0.828 0.328 0.500 1


The structure with the most favorable energy is Q; the runner-up is 0.9 kJ/mol of atoms above it.


## P
# Na2TlSe2 (PBE, relaxed)
# volume = 147 Å³/f.u.
# SG = P-1 (2)
data_Na2TlSe2
_chemical_formula_sum 'Na8 Tl4 Se8'
_space_group_name_H-M_alt 'P 1'
_space_group_IT_number 1
_space_group_name_Hall 'P 1'
_cell_length_a 7.433
_cell_length_b 7.479
_cell_length_c 10.807
_cell_angle_alpha 81.85
_cell_angle_beta 81.75
_cell_angle_gamma 86.10
loop_
_atom_site_label
_atom_site_type_symbol
_atom_site_fract_x
_atom_site_fract_y
_atom_site_fract_z
_atom_site_occupancy
Na1 Na 0.008 0.256 0.466 1
Na2 Na 0.017 0.704 0.207 1
Na3 Na 0.478 0.199 0.801 1
Na4 Na 0.480 0.732 0.528 1
Na5 Na 0.520 0.268 0.472 1
Na6 Na 0.522 0.801 0.199 1
Na7 Na 0.983 0.296 0.793 1
Na8 Na 0.992 0.744 0.534 1
Tl1 Tl 0.110 0.841 0.875 1
Tl2 Tl 0.398 0.333 0.164 1
Tl3 Tl 0.602 0.667 0.836 1
Tl4 Tl 0.890 0.159 0.125 1
Se1 Se 0.231 0.496 0.912 1
Se2 Se 0.232 0.016 0.641 1
Se3 Se 0.239 0.012 0.052 1
Se4 Se 0.268 0.554 0.377 1
Se5 Se 0.732 0.446 0.623 1
Se6 Se 0.761 0.988 0.948 1
Se7 Se 0.768 0.984 0.359 1
Se8 Se 0.769 0.504 0.088 1


## Q
# Na2TlSe2 (PBE, relaxed)
# volume = 124 Å³/f.u.
# SG = P4/mbm (127)
data_Na2TlSe2
_chemical_formula_sum 'Na4 Tl2 Se4'
_space_group_name_H-M_alt 'P 1'
_space_group_IT_number 1
_space_group_name_Hall 'P 1'
_cell_length_a 8.849
_cell_length_b 8.849
_cell_length_c 3.174
_cell_angle_alpha 90.00
_cell_angle_beta 90.00
_cell_angle_gamma 90.00
loop_
_atom_site_label
_atom_site_type_symbol
_atom_site_fract_x
_atom_site_fract_y
_atom_site_fract_z
_atom_site_occupancy
Na1 Na 0.131 0.369 0.000 1
Na2 Na 0.369 0.869 0.000 1
Na3 Na 0.631 0.131 0.000 1
Na4 Na 0.869 0.631 0.000 1
Tl1 Tl 0.000 0.000 0.500 1
Tl2 Tl 0.500 0.500 0.500 1
Se1 Se 0.166 0.666 0.500 1
Se2 Se 0.334 0.166 0.500 1
Se3 Se 0.666 0.834 0.500 1
Se4 Se 0.834 0.334 0.500 1


The structure with the most favorable energy is P; the runner-up is 6.9 kJ/mol of atoms above it.


## P
# NaTl2Se2 (PBE, relaxed)
# volume = 143 Å³/f.u.
# SG = P4/mbm (127)
data_NaTl2Se2
_chemical_formula_sum 'Na2 Tl4 Se4'
_space_group_name_H-M_alt 'P 1'
_space_group_IT_number 1
_space_group_name_Hall 'P 1'
_cell_length_a 8.249
_cell_length_b 8.249
_cell_length_c 4.211
_cell_angle_alpha 90.00
_cell_angle_beta 90.00
_cell_angle_gamma 90.00
loop_
_atom_site_label
_atom_site_type_symbol
_atom_site_fract_x
_atom_site_fract_y
_atom_site_fract_z
_atom_site_occupancy
Na1 Na 0.000 0.000 0.000 1
Na2 Na 0.500 0.500 0.000 1
Tl1 Tl 0.141 0.359 0.500 1
Tl2 Tl 0.359 0.859 0.500 1
Tl3 Tl 0.641 0.141 0.500 1
Tl4 Tl 0.859 0.641 0.500 1
Se1 Se 0.168 0.668 0.000 1
Se2 Se 0.332 0.168 0.000 1
Se3 Se 0.668 0.832 0.000 1
Se4 Se 0.832 0.332 0.000 1


## Q
# NaTl2Se2 (PBE, relaxed)
# volume = 164 Å³/f.u.
# SG = C2/m (12)
data_NaTl2Se2
_chemical_formula_sum 'Na2 Tl4 Se4'
_space_group_name_H-M_alt 'P 1'
_space_group_IT_number 1
_space_group_name_Hall 'P 1'
_cell_length_a 9.214
_cell_length_b 9.214
_cell_length_c 6.121
_cell_angle_alpha 98.23
_cell_angle_beta 98.23
_cell_angle_gamma 136.71
loop_
_atom_site_label
_atom_site_type_symbol
_atom_site_fract_x
_atom_site_fract_y
_atom_site_fract_z
_atom_site_occupancy
Na1 Na 0.151 0.849 0.000 1
Na2 Na 0.849 0.151 0.000 1
Tl1 Tl 0.289 0.289 0.656 1
Tl2 Tl 0.330 0.670 0.500 1
Tl3 Tl 0.670 0.330 0.500 1
Tl4 Tl 0.711 0.711 0.344 1
Se1 Se 0.159 0.841 0.500 1
Se2 Se 0.202 0.202 0.107 1
Se3 Se 0.798 0.798 0.893 1
Se4 Se 0.841 0.159 0.500 1


## R
# NaTl2Se2 (PBE, relaxed)
# volume = 153 Å³/f.u.
# SG = I4/mmm (139)
data_NaTl2Se2
_chemical_formula_sum 'Na1 Tl2 Se2'
_space_group_name_H-M_alt 'P 1'
_space_group_IT_number 1
_space_group_name_Hall 'P 1'
_cell_length_a 6.252
_cell_length_b 6.252
_cell_length_c 6.252
_cell_angle_alpha 126.38
_cell_angle_beta 126.38
_cell_angle_gamma 79.27
loop_
_atom_site_label
_atom_site_type_symbol
_atom_site_fract_x
_atom_site_fract_y
_atom_site_fract_z
_atom_site_occupancy
Na1 Na 0.000 0.000 0.000 1
Tl1 Tl 0.344 0.344 0.000 1
Tl2 Tl 0.656 0.656 0.000 1
Se1 Se 0.250 0.750 0.500 1
Se2 Se 0.750 0.250 0.500 1


## S
# NaTl2Se2 (PBE, relaxed)
# volume = 149 Å³/f.u.
# SG = I4/mmm (139)
data_NaTl2Se2
_chemical_formula_sum 'Na1 Tl2 Se2'
_space_group_name_H-M_alt 'P 1'
_space_group_IT_number 1
_space_group_name_Hall 'P 1'
_cell_length_a 8.037
_cell_length_b 8.037
_cell_length_c 8.037
_cell_angle_alpha 147.50
_cell_angle_beta 147.50
_cell_angle_gamma 46.63
loop_
_atom_site_label
_atom_site_type_symbol
_atom_site_fract_x
_atom_site_fract_y
_atom_site_fract_z
_atom_site_occupancy
Na1 Na 0.000 0.000 0.000 1
Tl1 Tl 0.250 0.750 0.500 1
Tl2 Tl 0.750 0.250 0.500 1
Se1 Se 0.414 0.414 0.000 1
Se2 Se 0.586 0.586 0.000 1


The structure with the most favorable energy is Q; the runner-up is 0.5 kJ/mol of atoms above it.


## P
# NaTlSe (PBE, relaxed)
# volume = 95 Å³/f.u.
# SG = P3m1 (156)
data_NaTlSe
_chemical_formula_sum 'Na1 Tl1 Se1'
_space_group_name_H-M_alt 'P 1'
_space_group_IT_number 1
_space_group_name_Hall 'P 1'
_cell_length_a 4.410
_cell_length_b 4.410
_cell_length_c 5.618
_cell_angle_alpha 90.00
_cell_angle_beta 90.00
_cell_angle_gamma 120.00
loop_
_atom_site_label
_atom_site_type_symbol
_atom_site_fract_x
_atom_site_fract_y
_atom_site_fract_z
_atom_site_occupancy
Na1 Na 0.000 0.000 0.000 1
Tl1 Tl 0.333 0.667 0.524 1
Se1 Se 0.667 0.333 0.233 1


## Q
# NaTlSe (PBE, relaxed)
# volume = 83 Å³/f.u.
# SG = I4mm (107)
data_NaTlSe
_chemical_formula_sum 'Na1 Tl1 Se1'
_space_group_name_H-M_alt 'P 1'
_space_group_IT_number 1
_space_group_name_Hall 'P 1'
_cell_length_a 6.114
_cell_length_b 6.114
_cell_length_c 6.114
_cell_angle_alpha 142.87
_cell_angle_beta 142.87
_cell_angle_gamma 53.53
loop_
_atom_site_label
_atom_site_type_symbol
_atom_site_fract_x
_atom_site_fract_y
_atom_site_fract_z
_atom_site_occupancy
Na1 Na 0.000 0.000 0.000 1
Tl1 Tl 0.281 0.281 0.000 1
Se1 Se 0.636 0.636 0.000 1


The structure with the most favorable energy is P; the runner-up is 9.8 kJ/mol of atoms above it.